(1)
# ReIr2W | Alexandria via LeMat-Bulk | GGA-PBE | relaxed
# Distance to the lowest polymorph of the same formula: 0.075 eV per atom
# ΔE_f: -247 meV/atom
# Magnetization: 0.000 μB/f.u.
data_ReIr2W
_chemical_formula_sum 'Re1 Ir2 W1'
_cell_length_a 3.8904
_cell_length_b 3.8904
_cell_length_c 3.9373
_cell_angle_alpha 90.00
_cell_angle_beta 90.00
_cell_angle_gamma 90.00
_symmetry_space_group_name_H-M 'P 4/m m m'
_symmetry_Int_Tables_number 123
_symmetry_space_group_name_Hall '-P 4 2'
loop_
_atom_site_label
_atom_site_type_symbol
_atom_site_fract_x
_atom_site_fract_y
_atom_site_fract_z
Re1 Re 0.0000 0.0000 0.0000
Ir1 Ir 0.0000 0.5000 0.5000
W1 W 0.5000 0.5000 0.0000



(2)
# ReIrW | Alexandria via LeMat-Bulk | GGA-PBE | relaxed
# Distance to the lowest polymorph of the same formula: 0.000 eV per atom
# ΔE_f: -167 meV/atom
# Magnetization: 0.000 μB/f.u.
data_ReIrW
_chemical_formula_sum 'Re2 Ir2 W2'
_cell_length_a 2.7717
_cell_length_b 4.4690
_cell_length_c 7.4659
_cell_angle_alpha 90.00
_cell_angle_beta 100.87
_cell_angle_gamma 90.00
_symmetry_space_group_name_H-M 'P 1 21/m 1'
_symmetry_Int_Tables_number 11
loop_
_symmetry_equiv_pos_as_xyz
'x,y,z'
'-x,-y,-z'
'-x,y+1/2,-z'
'x,-y+1/2,z'
loop_
_atom_site_label
_atom_site_type_symbol
_atom_site_fract_x
_atom_site_fract_y
_atom_site_fract_z
Re1 Re 0.2219 0.2500 0.4428
Ir1 Ir 0.4428 0.7500 0.8824
W1 W 0.1091 0.7500 0.2172



(3)
# ReIrW | Alexandria via LeMat-Bulk | GGA-PBE | relaxed
# Distance to the lowest polymorph of the same formula: 0.711 eV per atom
# ΔE_f: 544 meV/atom
# Magnetization: 0.000 μB/f.u.
data_ReIrW
_chemical_formula_sum 'Re4 Ir4 W4'
_cell_length_a 6.0015
_cell_length_b 6.0015
_cell_length_c 6.0015
_cell_angle_alpha 90.00
_cell_angle_beta 90.00
_cell_angle_gamma 90.00
_symmetry_space_group_name_H-M 'F -4 3 m'
_symmetry_Int_Tables_number 216
_symmetry_space_group_name_Hall 'F -4 2 3'
loop_
_atom_site_label
_atom_site_type_symbol
_atom_site_fract_x
_atom_site_fract_y
_atom_site_fract_z
Re1 Re 0.0000 0.0000 0.0000
Ir1 Ir 0.0000 0.0000 0.5000
W1 W 0.2500 0.2500 0.7500



| no. | DOS(E_F) (states/eV/cell) |
| --- | --- |
| 1 | 2.79 |
| 2 | 4.21 |
| 3 | 20.60 |